DFT (PBEsol) results for a relaxed structure of Si3NiP4.

The space group is No. 121. Its crystal system is tetragonal. The value obtained for the total moment is 0.0 μB/cell. For the uncorrected formation energy, the calculation gives -268 meV/atom. The calculated total energy is -6.09 eV per atom.

Lattice parameters (Å, degrees): 6.3318 6.3318 6.3318 131.89 131.89 70.40
Atoms (fractional coordinates):
Si1 0.0000 0.0000 0.0000
Si2 0.2500 0.7500 0.5000
Si3 0.7500 0.2500 0.5000
Ni1 0.5000 0.5000 0.0000
P1 0.1410 0.6225 0.0000
P2 0.3775 0.3775 0.5185
P3 0.6225 0.1410 0.0000
P4 0.8590 0.8590 0.4815